# 1
VASP calculation (GGA-PBE) on a relaxed structure of Mg4H2Ir3.

abc: 4.520 4.537 7.308
angles: 90.00 70.65 59.88
Fractional positions:
Ir (0.687, 0.930, 0.010)
Ir (0.520, 0.514, 0.684)
Ir (0.401, 0.073, 0.398)
H (0.622, 0.727, 0.832)
H (0.622, 0.199, 0.832)
Mg (0.117, 0.215, 0.812)
Mg (0.813, 0.367, 0.288)
Mg (0.962, 0.793, 0.551)
Mg (0.271, 0.638, 0.107)

polymorph energy (0 for the lowest one) = 28 meV/atom
SG = Cm (8)

# 2
VASP calculation (GGA-PBE) on a relaxed structure of K2Tl3MoS6.

abc: 7.669 7.669 7.007
angles: 100.45 100.45 122.39
Fractional positions:
S (0.917, 0.666, 0.778)
S (0.334, 0.083, 0.222)
S (0.083, 0.334, 0.222)
S (0.203, 0.203, 0.789)
S (0.797, 0.797, 0.211)
S (0.666, 0.917, 0.778)
K (0.327, 0.673, 0.000)
K (0.673, 0.327, 0.000)
Tl (0.146, 0.854, 0.500)
Tl (0.500, 0.500, 0.500)
Tl (0.854, 0.146, 0.500)
Mo (0.000, 0.000, 0.000)

formation energy from raw total energies = -0.570 eV per atom
SG = C2/m (12)

# 3
VASP calculation (GGA-PBE) on a relaxed structure of Pm6TlCl8.

abc: 6.928 6.928 11.372
angles: 72.27 72.27 60.00
Fractional positions:
Pm (0.944, 0.593, 0.169)
Pm (0.407, 0.706, 0.831)
Pm (0.294, 0.944, 0.169)
Pm (0.593, 0.294, 0.169)
Pm (0.056, 0.407, 0.831)
Pm (0.706, 0.056, 0.831)
Tl (0.000, 0.000, 0.000)
Cl (0.574, 0.890, 0.329)
Cl (0.110, 0.793, 0.671)
Cl (0.666, 0.666, 0.001)
Cl (0.207, 0.574, 0.329)
Cl (0.426, 0.110, 0.671)
Cl (0.334, 0.334, 0.999)
Cl (0.793, 0.426, 0.671)
Cl (0.890, 0.207, 0.329)

formation energy from raw total energies = -1.588 eV per atom
SG = R-3 (148)

# 4
VASP calculation (GGA-PBE) on a relaxed structure of CeCuPt4.

abc: 5.345 5.345 5.345
angles: 60.00 60.00 60.00
Fractional positions:
Pt (0.626, 0.626, 0.626)
Pt (0.123, 0.626, 0.626)
Pt (0.626, 0.123, 0.626)
Pt (0.626, 0.626, 0.123)
Ce (0.250, 0.250, 0.250)
Cu (0.000, 0.000, 0.000)

ΔH_f (0 K) = -672 meV per atom
polymorph energy (0 for the lowest one) = 0 meV/atom
SG = F-43m (216)

# 5
VASP calculation (GGA-PBE) on a relaxed structure of Ac8NdDy4.

abc: 11.793 11.793 8.334
angles: 90.00 135.04 120.00
Fractional positions:
Ac (0.999, 0.759, 0.240)
Ac (0.999, 0.241, 0.240)
Ac (0.482, 0.241, 0.240)
Ac (0.518, 0.759, 0.278)
Ac (0.001, 0.241, 0.760)
Ac (0.001, 0.759, 0.760)
Ac (0.482, 0.241, 0.722)
Ac (0.518, 0.759, 0.760)
Dy (0.500, 0.500, 0.000)
Dy (0.000, 0.000, 0.000)
Dy (0.500, 0.000, 0.000)
Dy (0.000, 0.500, 0.000)
Nd (0.000, 0.500, 0.500)

ΔH_f (0 K) = 392 meV per atom
SG = R-3m (166)

# 6
VASP calculation (GGA-PBE) on a relaxed structure of Sr2InCS.

abc: 6.077 4.074 6.077
angles: 90.00 90.00 90.00
Fractional positions:
Sr (0.000, 0.000, 0.500)
Sr (0.500, 0.000, 0.000)
S (0.500, 0.500, 0.500)
C (0.000, 0.500, 0.000)
In (0.000, 0.000, 0.000)

formation energy from raw total energies = 0.325 eV per atom
SG = P4/mmm (123)

# 7
VASP calculation (GGA-PBE) on a relaxed structure of Ho3Er4Tm5.

abc: 6.996 11.043 12.595
angles: 151.30 56.34 129.24
Fractional positions:
Er (0.917, 0.834, 0.667)
Er (0.083, 0.166, 0.333)
Er (0.833, 0.666, 0.833)
Er (0.167, 0.334, 0.167)
Ho (0.417, 0.834, 0.667)
Ho (0.000, 0.000, 0.500)
Ho (0.583, 0.166, 0.333)
Tm (0.500, 0.000, 0.500)
Tm (0.750, 0.500, 0.000)
Tm (0.250, 0.500, 0.000)
Tm (0.333, 0.666, 0.833)
Tm (0.667, 0.334, 0.167)

ΔH_f (0 K) = 24 meV per atom
polymorph energy (0 for the lowest one) = 0 meV/atom
SG = P-1 (2)

# 8
VASP calculation (GGA-PBE) on a relaxed structure of K2Ca2Ir.

abc: 4.072 4.072 10.935
angles: 79.27 79.27 90.00
Fractional positions:
Ca (0.572, 0.572, 0.856)
Ca (0.428, 0.428, 0.144)
K (0.250, 0.750, 0.500)
K (0.750, 0.250, 0.500)
Ir (0.000, 0.000, 0.000)

ΔH_f (0 K) = 666 meV per atom
polymorph energy (0 for the lowest one) = 484 meV/atom
SG = I4/mmm (139)

# 9
VASP calculation (GGA-PBE) on a relaxed structure of TlAsPtO6.

abc: 5.151 5.151 4.820
angles: 90.00 90.00 60.00
Fractional positions:
As (0.667, 0.667, 0.500)
O (0.378, 0.981, 0.720)
O (0.641, 0.981, 0.280)
O (0.641, 0.378, 0.720)
O (0.981, 0.378, 0.280)
O (0.981, 0.641, 0.720)
O (0.378, 0.641, 0.280)
Pt (0.333, 0.333, 0.500)
Tl (0.000, 0.000, 0.000)

formation energy from raw total energies = -0.836 eV per atom
SG = P312 (149)

# 10
VASP calculation (GGA-PBE) on a relaxed structure of LiTb3Ag2.

abc: 3.685 5.147 8.183
angles: 108.33 90.00 90.00
Fractional positions:
Tb (0.500, 0.829, 0.659)
Tb (0.500, 0.500, 0.000)
Tb (0.500, 0.171, 0.341)
Ag (0.000, 0.341, 0.681)
Ag (0.000, 0.659, 0.319)
Li (0.000, 0.000, 0.000)

ΔH_f (0 K) = -180 meV per atom
polymorph energy (0 for the lowest one) = 0 meV/atom
SG = Cmmm (65)

# 11
VASP calculation (GGA-PBE) on a relaxed structure of CaTmPt.

abc: 6.314 4.115 4.115
angles: 120.00 90.00 90.00
Fractional positions:
Tm (0.229, 0.333, 0.667)
Ca (0.752, 0.667, 0.333)
Pt (0.019, 0.000, 0.000)

ΔH_f (0 K) = -726 meV per atom
polymorph energy (0 for the lowest one) = 65 meV/atom
SG = P3m1 (156)

# 12
VASP calculation (GGA-PBE) on a relaxed structure of CsCdHg5.

abc: 5.323 5.323 8.698
angles: 90.00 90.00 90.00
Fractional positions:
Hg (0.500, 0.000, 0.307)
Hg (0.000, 0.500, 0.307)
Hg (0.500, 0.500, 0.000)
Hg (0.500, 0.000, 0.693)
Hg (0.000, 0.500, 0.693)
Cd (0.000, 0.000, 0.500)
Cs (0.000, 0.000, 0.000)

ΔH_f (0 K) = -94 meV per atom
polymorph energy (0 for the lowest one) = 0 meV/atom
SG = P4/mmm (123)

Number 1: total energy -4.69 eV per atom, M_tot 0.000 μB/cell. Number 2: total energy -4.31 eV per atom, M_tot 0.000 μB/cell. Number 3: total energy -4.63 eV per atom, M_tot 0.000 μB/cell. Number 4: total energy -6.37 eV per atom, M_tot 0.000 μB/cell. Number 5: total energy -3.92 eV per atom, M_tot 0.000 μB/cell. Number 6: total energy -3.57 eV per atom, M_tot 0.000 μB/cell. Number 7: total energy -4.50 eV per atom, M_tot 0.000 μB/cell. Number 8: total energy -2.35 eV per atom, M_tot 0.581 μB/cell. Number 9: total energy -5.59 eV per atom, M_tot 0.000 μB/cell. Number 10: total energy -3.76 eV per atom, M_tot 0.000 μB/cell. Number 11: total energy -4.90 eV per atom, M_tot 0.000 μB/cell. Number 12: total energy -0.56 eV per atom, M_tot 0.000 μB/cell.